# 1
The following is a PBE calculation of a relaxed structure of Sc2BiBr, from Alexandria.

Its crystal system is tetragonal. For the calculated total energy, the calculation gives -78.67 eV for the cell shown. As for the uncorrected formation energy: -140 kJ/mol of formula units.

Cell: 6.358 6.358 13.086 Å, 90.00 90.00 90.00°
Space group I-42d (No. 122)
Inequivalent atoms, fractional coordinates:
Sc  0.231  0.250  0.125 x8
Bi  0.000  0.000  0.500 x4
Br  0.000  0.000  0.000 x4


# 2
The following is a PBE calculation of a relaxed structure of CaMnS2Cl, from Alexandria.

Its crystal system is tetragonal. For the calculated total energy, the calculation gives -26.50 eV for the cell shown. As for the uncorrected formation energy: -505 kJ/mol of formula units.

Cell: 4.726 4.726 4.745 Å, 90.00 90.00 90.00°
Space group P4/mmm (No. 123)
Inequivalent atoms, fractional coordinates:
Ca  0.000  0.000  0.000 x1
Mn  0.500  0.500  0.500 x1
S  0.000  0.500  0.500 x2
Cl  0.500  0.500  0.000 x1


# 3
The following is a PBE calculation of a relaxed structure of BaZnTe2O8, from Alexandria.

Its crystal system is trigonal. For the calculated total energy, the calculation gives -64.65 eV for the cell shown. As for the uncorrected formation energy: -1496 kJ/mol of formula units.

Cell: 5.5225 5.5225 7.7434 Å, 90.00 90.00 120.00°
Space group P-3 (No. 147)
Inequivalent atoms, fractional coordinates:
Ba  0.0000  0.0000  0.0000 x1
Zn  0.0000  0.0000  0.5000 x1
Te  0.3333  0.6667  0.7315 x2
O  0.0478  0.3129  0.6724 x6
O  0.3333  0.6667  0.9695 x2


# 4
The following is a PBE calculation of a relaxed structure of Rb2Sb2Te3, from Alexandria.

Its crystal system is triclinic. For the calculated total energy, the calculation gives -22.20 eV for the cell shown. As for the uncorrected formation energy: -251 kJ/mol of formula units.

Cell: 4.395 8.069 8.724 Å, 80.03 89.89 74.22°
Space group P-1 (No. 2)
Inequivalent atoms, fractional coordinates:
Rb  0.116  0.267  0.380 x2
Sb  0.379  0.742  0.122 x2
Te  0.000  0.500  0.000 x1
Te  0.233  0.035  0.786 x2


# 5
The following is a PBE calculation of a relaxed structure of PrYGa2, from Alexandria.

Its crystal system is monoclinic. For the calculated total energy, the calculation gives -19.77 eV for the cell shown. For the energy relative to the elements, the calculation gives -0.617 eV/atom.

Cell: 4.437 4.131 6.025 Å, 90.00 111.57 90.00°
Space group Pm (No. 6)
Inequivalent atoms, fractional coordinates:
Pr  0.000  0.000  0.000 x1
Y  0.278  0.500  0.557 x1
Ga  0.572  0.500  0.143 x1
Ga  0.717  0.000  0.437 x1


# 6
The following is a PBE calculation of a relaxed structure of PrThZnPb, from Alexandria.

Its crystal system is cubic. For the calculated total energy, the calculation gives -72.48 eV for the cell shown. For the energy relative to the elements, the calculation gives -0.235 eV/atom.

Cell: 7.690 7.690 7.690 Å, 90.00 90.00 90.00°
Space group F-43m (No. 216)
Inequivalent atoms, fractional coordinates:
Pr  0.000  0.000  0.000 x4
Th  0.000  0.000  0.500 x4
Zn  0.250  0.250  0.750 x4
Pb  0.250  0.250  0.250 x4